one.
First-principles (GGA-PBE) data for a relaxed structure of ReTcPt, as listed in Alexandria via LeMat-Bulk.

Structure (extended XYZ):
```
3
Lattice="-4.701 -0.721 3.944 -3.198 -3.025 4.335 1.002 1.056 2.367" Properties=species:S:1:pos:R:3 pbc="T T T"
Pt -7.889 -3.740 8.271
Re -1.895 -0.507 4.291
Tc -5.013 -2.189 6.361
```

Values from the calculation:
Crystal system = tetragonal

=====

two.
First-principles (GGA-PBE) data for a relaxed structure of ReTcPt, as listed in Alexandria via LeMat-Bulk.

Structure (extended XYZ):
```
3
Lattice="-1.912 3.894 -2.179 0.494 0.862 -4.752 -1.241 -3.570 3.046" Properties=species:S:1:pos:R:3 pbc="T T T"
Pt -1.416 4.750 -6.923
Re -0.458 1.536 -2.239
Tc -0.961 3.225 -4.700
```

Values from the calculation:
Crystal system = tetragonal

=====

three.
First-principles (GGA-PBE) data for a relaxed structure of ReTcPt, as listed in Alexandria via LeMat-Bulk.

Structure (extended XYZ):
```
3
Lattice="-4.085 -0.028 1.052 -1.406 -2.692 2.927 -1.215 1.436 3.776" Properties=species:S:1:pos:R:3 pbc="T T T"
Pt -3.353 -0.642 3.877
Re -5.029 -0.963 5.816
Tc 0.000 0.000 0.000
```

Values from the calculation:
Crystal system = cubic

=====

Order of stability, best first: one, two, three

=====

one.
First-principles (GGA-PBE) data for a relaxed structure of ReTcPt, as listed in Alexandria via LeMat-Bulk.

Structure (extended XYZ):
```
3
Lattice="4.808 0.007 -0.010 2.390 4.171 0.010 -3.148 -2.867 2.233" Properties=species:S:1:pos:R:3 pbc="T T T"
Pt 0.000 0.000 0.000
Re 2.360 1.370 0.000
Tc 4.838 2.809 0.000
```

Values from the calculation:
Crystal system = orthorhombic

=====

two.
First-principles (GGA-PBE) data for a relaxed structure of ReTcPt, as listed in Alexandria via LeMat-Bulk.

Structure (extended XYZ):
```
3
Lattice="-0.963 -0.958 -2.415 -1.087 -0.905 2.382 -4.557 5.015 -0.174" Properties=species:S:1:pos:R:3 pbc="T T T"
Pt -4.557 5.015 -0.174
Re -2.613 0.802 0.724
Tc -3.994 2.350 -0.930
```

Values from the calculation:
Crystal system = trigonal

=====

three.
First-principles (GGA-PBE) data for a relaxed structure of ReTcPt, as listed in Alexandria via LeMat-Bulk.

Structure (extended XYZ):
```
3
Lattice="-4.142 -1.372 0.111 2.363 -0.487 -3.637 0.853 -2.503 0.890" Properties=species:S:1:pos:R:3 pbc="T T T"
Pt 0.853 -2.503 0.890
Re -1.547 -2.329 -0.693
Tc 0.621 -2.034 -1.943
```

Values from the calculation:
Crystal system = hexagonal

=====

Order of stability, best first: one, two, three

=====

one.
First-principles (GGA-PBE) data for a relaxed structure of ReTePt, as listed in Alexandria via LeMat-Bulk.

Structure (extended XYZ):
```
3
Lattice="4.421 0.000 0.000 -2.211 3.829 0.000 0.000 0.000 3.236" Properties=species:S:1:pos:R:3 pbc="T T T"
Pt 0.000 0.000 3.235
Re 0.000 2.553 1.615
Te 2.211 1.276 1.621
```

Values from the calculation:
Crystal system = hexagonal

=====

two.
First-principles (GGA-PBE) data for a relaxed structure of ReTePt, as listed in Alexandria via LeMat-Bulk.

Structure (extended XYZ):
```
3
Lattice="-5.260 -3.656 1.705 -2.974 -2.783 5.230 2.971 5.008 -3.167" Properties=species:S:1:pos:R:3 pbc="T T T"
Pt -7.998 -6.254 6.736
Re -2.758 -2.157 2.323
Te -5.711 -4.466 4.810
```

Values from the calculation:
Crystal system = tetragonal

=====

Order of stability, best first: two, one

=====

one.
First-principles (GGA-PBE) data for a relaxed structure of ReTe2Pt, as listed in Alexandria via LeMat-Bulk.

Structure (extended XYZ):
```
4
Lattice="5.540 0.016 0.000 2.548 4.919 0.000 -4.044 -2.468 2.872" Properties=species:S:1:pos:R:3 pbc="T T T"
Pt 4.044 2.468 0.000
Re 2.770 0.008 1.436
Te 0.000 0.000 0.000
Te 1.274 2.460 1.436
```

Values from the calculation:
Crystal system = tetragonal

=====

two.
First-principles (GGA-PBE) data for a relaxed structure of ReTe2Pt, as listed in Alexandria via LeMat-Bulk.

Structure (extended XYZ):
```
4
Lattice="-3.872 0.067 -2.353 1.276 -1.377 -2.139 -2.989 -4.318 4.796" Properties=species:S:1:pos:R:3 pbc="T T T"
Pt -2.364 -1.390 -0.512
Re -3.221 -4.238 0.816
Te -1.711 -5.678 2.654
Te -0.859 -2.865 1.332
```

Values from the calculation:
Crystal system = monoclinic

=====

three.
First-principles (GGA-PBE) data for a relaxed structure of ReTe2Pt, as listed in Alexandria via LeMat-Bulk.

Structure (extended XYZ):
```
4
Lattice="-2.759 -0.975 1.858 0.697 -4.489 -1.320 2.777 -0.677 3.769" Properties=species:S:1:pos:R:3 pbc="T T T"
Pt -1.031 -2.732 0.269
Re 0.009 -0.826 2.813
Te 0.000 0.000 0.000
Te 1.737 -2.583 1.225
```

Values from the calculation:
Crystal system = tetragonal

=====

Order of stability, best first: three, two, one

=====

one.
First-principles (GGA-PBE) data for a relaxed structure of ReTe2Pt, as listed in Alexandria via LeMat-Bulk.

Structure (extended XYZ):
```
4
Lattice="-1.705 -5.626 3.483 3.534 -5.103 2.858 -1.507 6.603 -0.903" Properties=species:S:1:pos:R:3 pbc="T T T"
Pt 1.038 -6.090 3.600
Re -1.109 -2.431 3.016
Te 1.729 -10.144 5.996
Te 1.406 -1.552 2.338
```

Values from the calculation:
Crystal system = orthorhombic

=====

two.
First-principles (GGA-PBE) data for a relaxed structure of ReTe2Pt, as listed in Alexandria via LeMat-Bulk.

Structure (extended XYZ):
```
4
Lattice="4.097 -0.018 0.021 2.055 3.544 0.021 2.019 1.157 6.743" Properties=species:S:1:pos:R:3 pbc="T T T"
Pt 4.088 2.343 3.097
Re 2.038 1.168 2.115
Te 6.146 3.523 0.558
Te 6.136 3.517 4.450
```

Values from the calculation:
Crystal system = monoclinic

=====

three.
First-principles (GGA-PBE) data for a relaxed structure of ReTe2Pt, as listed in Alexandria via LeMat-Bulk.

Structure (extended XYZ):
```
4
Lattice="4.848 0.000 0.000 2.424 4.199 0.000 2.424 1.400 3.959" Properties=species:S:1:pos:R:3 pbc="T T T"
Pt 4.848 2.799 1.979
Re 7.273 4.199 2.969
Te 0.000 0.000 0.000
Te 2.424 1.400 0.990
```

Values from the calculation:
Crystal system = cubic

=====

Order of stability, best first: two, one, three

=====

one.
First-principles (GGA-PBE) data for a relaxed structure of ReTe2Pt, as listed in Alexandria via LeMat-Bulk.

Structure (extended XYZ):
```
4
Lattice="8.114 -0.012 -0.007 7.393 3.344 -0.007 7.393 1.589 2.943" Properties=species:S:1:pos:R:3 pbc="T T T"
Pt 5.725 1.230 0.732
Re 17.175 3.690 2.196
Te 0.031 0.007 0.004
Te 11.419 2.454 1.460
```

Values from the calculation:
Crystal system = trigonal

=====

two.
First-principles (GGA-PBE) data for a relaxed structure of ReTe2Pt, as listed in Alexandria via LeMat-Bulk.

Structure (extended XYZ):
```
4
Lattice="3.298 0.000 0.000 0.000 5.302 0.000 0.000 0.000 4.564" Properties=species:S:1:pos:R:3 pbc="T T T"
Pt 1.649 0.000 2.282
Re 0.000 2.651 2.282
Te 0.000 0.000 0.000
Te 1.649 2.651 0.000
```

Values from the calculation:
Crystal system = orthorhombic

=====

Order of stability, best first: one, two

=====

one.
First-principles (GGA-PBE) data for a relaxed structure of ReTe2Pt, as listed in Alexandria via LeMat-Bulk.

Structure (extended XYZ):
```
8
Lattice="6.094 0.000 0.000 0.000 6.094 0.000 3.047 3.047 5.821" Properties=species:S:1:pos:R:3 pbc="T T T"
Re 3.047 3.047 0.000
Re 3.047 6.094 2.911
Te 4.522 1.523 1.455
Te 1.572 4.570 1.455
Te 4.570 4.618 4.366
Te 7.617 7.569 4.366
Pt 0.000 0.000 0.000
Pt 6.094 3.047 2.911
```

Values from the calculation:
Crystal system = tetragonal

=====

two.
First-principles (GGA-PBE) data for a relaxed structure of ReTe2Pt, as listed in Alexandria via LeMat-Bulk.

Structure (extended XYZ):
```
4
Lattice="3.337 0.000 0.000 0.000 3.337 0.000 0.000 0.000 6.981" Properties=species:S:1:pos:R:3 pbc="T T T"
Pt 1.669 1.669 1.745
Re 1.669 1.669 5.235
Te 0.000 0.000 6.905
Te 0.000 0.000 3.566
```

Values from the calculation:
Crystal system = tetragonal

=====

three.
First-principles (GGA-PBE) data for a relaxed structure of ReTe2Pt, as listed in Alexandria via LeMat-Bulk.

Structure (extended XYZ):
```
4
Lattice="1.952 0.000 8.905 -0.976 1.690 8.905 -0.976 -1.690 8.905" Properties=species:S:1:pos:R:3 pbc="T T T"
Re 0.000 0.000 13.358
Te 0.000 0.000 24.156
Te 0.000 0.000 2.560
Pt 0.000 0.000 0.000
```

Values from the calculation:
Crystal system = trigonal

=====

four.
First-principles (GGA-PBE) data for a relaxed structure of ReTe2Pt, as listed in Alexandria via LeMat-Bulk.

Structure (extended XYZ):
```
4
Lattice="4.631 -0.001 0.005 3.402 3.142 0.005 1.033 0.404 5.537" Properties=species:S:1:pos:R:3 pbc="T T T"
Pt 6.799 2.659 4.161
Re 2.266 0.886 1.387
Te 7.887 3.084 0.085
Te 4.678 1.829 2.700
```

Values from the calculation:
Crystal system = monoclinic

=====

Order of stability, best first: one, three, two, four

=====

one.
First-principles (GGA-PBE) data for a relaxed structure of ReTe2Pt, as listed in Alexandria via LeMat-Bulk.

Structure (extended XYZ):
```
4
Lattice="3.134 0.000 0.000 0.000 3.134 0.000 0.000 0.000 9.240" Properties=species:S:1:pos:R:3 pbc="T T T"
Pt 0.000 0.000 4.995
Re 1.567 1.567 6.752
Te 0.000 0.000 8.387
Te 1.567 1.567 2.967
```

Values from the calculation:
Crystal system = tetragonal

=====

two.
First-principles (GGA-PBE) data for a relaxed structure of ReTe2Pt, as listed in Alexandria via LeMat-Bulk.

Structure (extended XYZ):
```
4
Lattice="-0.659 4.843 -3.874 0.266 -3.950 -4.819 -2.237 -0.044 -1.784" Properties=species:S:1:pos:R:3 pbc="T T T"
Pt -1.448 2.400 -2.829
Re -0.985 -1.997 -3.301
Te 0.000 0.000 0.000
Te -0.196 0.446 -4.346
```

Values from the calculation:
Crystal system = orthorhombic

=====

Order of stability, best first: one, two

=====

one.
First-principles (GGA-PBE) data for a relaxed structure of ReTe2Pt, as listed in Alexandria via LeMat-Bulk.

Structure (extended XYZ):
```
4
Lattice="7.321 0.053 -0.031 5.120 5.232 0.031 -6.216 -2.652 2.814" Properties=species:S:1:pos:R:3 pbc="T T T"
Pt 2.562 2.611 1.422
Re 3.662 0.021 1.392
Te 11.054 4.696 0.000
Te 7.607 3.232 0.000
```

Values from the calculation:
Crystal system = orthorhombic

=====

two.
First-principles (GGA-PBE) data for a relaxed structure of ReTe2Pt, as listed in Alexandria via LeMat-Bulk.

Structure (extended XYZ):
```
4
Lattice="-0.339 1.906 2.397 0.755 -2.930 0.584 9.267 2.288 -0.508" Properties=species:S:1:pos:R:3 pbc="T T T"
Pt 2.525 0.060 1.364
Re 7.159 1.204 1.110
Te 9.158 2.261 -0.502
Te 4.743 1.171 -0.260
```

Values from the calculation:
Crystal system = orthorhombic

=====

Order of stability, best first: one, two

=====

one.
First-principles (GGA-PBE) data for a relaxed structure of ReTe2Pt, as listed in Alexandria via LeMat-Bulk.

Structure (extended XYZ):
```
4
Lattice="0.000 3.389 3.389 3.389 0.000 3.389 3.389 3.389 0.000" Properties=species:S:1:pos:R:3 pbc="T T T"
Re 0.000 0.000 0.000
Te 1.694 1.694 1.694
Te 5.083 5.083 5.083
Pt 3.389 3.389 3.389
```

Values from the calculation:
Crystal system = cubic

=====

two.
First-principles (GGA-PBE) data for a relaxed structure of ReTe2Pt, as listed in Alexandria via LeMat-Bulk.

Structure (extended XYZ):
```
4
Lattice="1.480 -1.863 8.468 1.766 -5.074 6.965 4.547 -2.857 6.966" Properties=species:S:1:pos:R:3 pbc="T T T"
Re 0.000 0.000 0.000
Te 7.025 -8.828 20.190
Te 0.769 -0.966 2.209
Pt 3.897 -4.897 11.200
```

Values from the calculation:
Crystal system = trigonal

=====

Order of stability, best first: one, two

=====

one.
First-principles (GGA-PBE) data for a relaxed structure of ReTe2Pt, as listed in Alexandria via LeMat-Bulk.

Structure (extended XYZ):
```
4
Lattice="3.859 0.000 0.000 0.000 3.066 0.239 0.000 1.101 8.232" Properties=species:S:1:pos:R:3 pbc="T T T"
Pt 0.000 2.277 4.557
Re 1.930 3.717 5.870
Te 0.000 3.572 7.802
Te 1.930 0.852 2.950
```

Values from the calculation:
Crystal system = monoclinic

=====

two.
First-principles (GGA-PBE) data for a relaxed structure of ReTe2Pt, as listed in Alexandria via LeMat-Bulk.

Structure (extended XYZ):
```
4
Lattice="4.953 0.011 0.000 0.829 4.884 0.000 -2.891 -2.447 3.192" Properties=species:S:1:pos:R:3 pbc="T T T"
Pt 0.415 2.442 1.596
Re 2.477 0.006 1.596
Te 0.000 0.000 0.000
Te 2.891 2.447 0.000
```

Values from the calculation:
Crystal system = tetragonal

=====

Order of stability, best first: one, two

=====

one.
First-principles (GGA-PBE) data for a relaxed structure of TiRe2Pt, as listed in Alexandria via LeMat-Bulk.

Structure (extended XYZ):
```
8
Lattice="3.730 0.000 0.000 0.000 3.730 0.000 1.865 1.865 9.614" Properties=species:S:1:pos:R:3 pbc="T T T"
Re 2.687 0.933 2.404
Re 1.043 2.798 2.404
Re 2.798 2.908 7.211
Re 4.663 4.552 7.211
Pt 0.000 0.000 0.000
Pt 3.730 1.865 4.807
Ti 1.865 1.865 0.000
Ti 1.865 3.730 4.807
```

Values from the calculation:
Crystal system = tetragonal

=====

two.
First-principles (GGA-PBE) data for a relaxed structure of TiRe2Pt, as listed in Alexandria via LeMat-Bulk.

Structure (extended XYZ):
```
4
Lattice="0.157 -1.531 4.154 0.749 2.787 3.361 -3.257 0.968 2.842" Properties=species:S:1:pos:R:3 pbc="T T T"
Re -0.588 0.556 2.589
Re -1.763 1.669 7.767
Pt -1.175 1.112 5.178
Ti 0.000 0.000 0.000
```

Values from the calculation:
Crystal system = cubic

=====

Order of stability, best first: two, one